No. 1
The following is a GGA-PBE calculation of crystalline ZrCu2Ag at its relaxed geometry, from Alexandria via LeMat-Bulk.

a b c (Å): 4.487 4.487 4.487
angles (deg): 60.00 60.00 60.00
Positions (direct):
Zr1 0.000 0.000 0.000
Cu1 0.250 0.250 0.250
Cu2 0.750 0.750 0.750
Ag1 0.500 0.500 0.500

Values from the calculation:
energy of formation from the pure elements	-69.8	meV per atom
SG	Fm-3m (225)
ΔE to the lowest computed polymorph	0.000	eV per atom


No. 2
The following is a GGA-PBE calculation of crystalline CsFe2SiTe at its relaxed geometry, from Alexandria via LeMat-Bulk.

a b c (Å): 4.807 4.807 6.228
angles (deg): 90.00 90.00 90.00
Positions (direct):
Cs1 0.000 0.000 0.000
Fe1 0.000 0.500 0.500
Fe2 0.500 0.000 0.500
Si1 0.000 0.000 0.500
Te1 0.500 0.500 0.000

Values from the calculation:
SG	P4/mmm (123)
raw formation energy	0.882	eV/atom


No. 3
The following is a GGA-PBE calculation of crystalline Ce2Co3NiAs4 at its relaxed geometry, from Alexandria via LeMat-Bulk.

a b c (Å): 4.167 4.167 9.325
angles (deg): 90.00 90.00 90.00
Positions (direct):
Ce1 0.000 0.500 0.249
Ce2 0.500 0.000 0.751
Co1 0.000 0.000 0.000
Co2 0.000 0.500 0.615
Co3 0.500 0.000 0.385
Ni1 0.500 0.500 0.000
As1 0.000 0.000 0.500
As2 0.000 0.500 0.866
As3 0.500 0.000 0.134
As4 0.500 0.500 0.500

Values from the calculation:
energy of formation from the pure elements	-802.4	meV per atom
SG	P-4m2 (115)


No. 4
The following is a GGA-PBE calculation of crystalline Cs2ZnAu3 at its relaxed geometry, from Alexandria via LeMat-Bulk.

a b c (Å): 9.763 9.429 7.099
angles (deg): 70.82 65.81 43.37
Positions (direct):
Cs1 0.242 0.758 0.242
Cs2 0.250 0.250 0.250
Cs3 0.750 0.750 0.750
Cs4 0.758 0.242 0.758
Zn1 0.333 0.333 0.667
Zn2 0.667 0.667 0.333
Au1 0.175 0.175 0.825
Au2 0.175 0.652 0.825
Au3 0.348 0.825 0.652
Au4 0.652 0.175 0.348
Au5 0.825 0.348 0.175
Au6 0.825 0.825 0.175

Values from the calculation:
energy of formation from the pure elements	-249.3	meV per atom
SG	Fmmm (69)
ΔE to the lowest computed polymorph	0.000	eV per atom


No. 5
The following is a GGA-PBE calculation of crystalline Sr2AlSn2 at its relaxed geometry, from Alexandria via LeMat-Bulk.

a b c (Å): 8.533 8.533 8.533
angles (deg): 130.78 70.13 133.38
Positions (direct):
Sr1 0.140 0.200 0.340
Sr2 0.360 0.700 0.060
Sr3 0.640 0.300 0.940
Sr4 0.860 0.800 0.660
Al1 0.250 0.750 0.500
Al2 0.750 0.250 0.500
Sn1 0.113 0.717 0.831
Sn2 0.387 0.217 0.604
Sn3 0.613 0.783 0.396
Sn4 0.887 0.283 0.169

Values from the calculation:
energy of formation from the pure elements	-464.4	meV per atom
SG	Ibam (72)
ΔE to the lowest computed polymorph	0.000	eV per atom


No. 6
The following is a GGA-PBE calculation of crystalline CaLa4Mn at its relaxed geometry, from Alexandria via LeMat-Bulk.

a b c (Å): 6.712 6.712 6.712
angles (deg): 60.00 60.00 60.00
Positions (direct):
Ca1 0.000 0.000 0.000
La1 0.136 0.621 0.621
La2 0.621 0.136 0.621
La3 0.621 0.621 0.136
La4 0.621 0.621 0.621
Mn1 0.250 0.250 0.250

Values from the calculation:
energy of formation from the pure elements	494.7	meV per atom
SG	F-43m (216)


No. 7
The following is a GGA-PBE calculation of crystalline Al2MoCl at its relaxed geometry, from Alexandria via LeMat-Bulk.

a b c (Å): 5.377 5.377 5.377
angles (deg): 147.39 128.40 62.39
Positions (direct):
Al1 0.243 0.243 0.000
Al2 0.757 0.757 0.000
Mo1 0.000 0.500 0.500
Cl1 0.500 0.000 0.500

Values from the calculation:
SG	Immm (71)
ΔE to the lowest computed polymorph	0.648	eV per atom
raw formation energy	0.287	eV/atom


No. 8
The following is a GGA-PBE calculation of crystalline KCeNbN3 at its relaxed geometry, from Alexandria via LeMat-Bulk.

a b c (Å): 7.092 7.092 7.488
angles (deg): 102.16 102.16 31.99
Positions (direct):
K1 0.170 0.170 0.074
K2 0.830 0.830 0.926
Ce1 0.149 0.149 0.565
Ce2 0.851 0.851 0.435
Nb1 0.494 0.494 0.768
Nb2 0.506 0.506 0.232
N1 0.014 0.014 0.306
N2 0.333 0.333 0.619
N3 0.365 0.365 0.237
N4 0.635 0.635 0.763
N5 0.667 0.667 0.381
N6 0.986 0.986 0.694

Values from the calculation:
SG	C2/m (12)
raw formation energy	-0.831	eV/atom


No. 9
The following is a GGA-PBE calculation of crystalline MnGeAsSe2 at its relaxed geometry, from Alexandria via LeMat-Bulk.

a b c (Å): 4.833 4.833 4.477
angles (deg): 90.00 90.00 90.00
Positions (direct):
Mn1 0.000 0.000 0.000
Ge1 0.500 0.500 0.500
As1 0.000 0.000 0.500
Se1 0.000 0.500 0.000
Se2 0.500 0.000 0.000

Values from the calculation:
SG	P4/mmm (123)
ΔE to the lowest computed polymorph	0.000	eV per atom
raw formation energy	0.329	eV/atom


No. 10
The following is a GGA-PBE calculation of crystalline HfZr8Bi6 at its relaxed geometry, from Alexandria via LeMat-Bulk.

a b c (Å): 8.788 8.788 8.788
angles (deg): 53.50 53.50 53.50
Positions (direct):
Hf1 0.000 0.000 0.000
Zr1 0.044 0.781 0.551
Zr2 0.219 0.449 0.956
Zr3 0.327 0.327 0.327
Zr4 0.449 0.956 0.219
Zr5 0.551 0.044 0.781
Zr6 0.673 0.673 0.673
Zr7 0.781 0.551 0.044
Zr8 0.956 0.219 0.449
Bi1 0.133 0.346 0.742
Bi2 0.258 0.867 0.654
Bi3 0.346 0.742 0.133
Bi4 0.654 0.258 0.867
Bi5 0.742 0.133 0.346
Bi6 0.867 0.654 0.258

Values from the calculation:
energy of formation from the pure elements	-20.7	meV per atom
SG	R-3 (148)


No. 11
The following is a GGA-PBE calculation of crystalline Ir12Ru5W3 at its relaxed geometry, from Alexandria via LeMat-Bulk.

a b c (Å): 12.547 12.547 12.547
angles (deg): 109.47 109.47 109.47
Positions (direct):
Ir1 0.061 0.228 0.138
Ir2 0.061 0.333 0.923
Ir3 0.077 0.638 0.410
Ir4 0.077 0.939 0.667
Ir5 0.090 0.728 0.667
Ir6 0.090 0.862 0.423
Ir7 0.138 0.061 0.228
Ir8 0.138 0.577 0.910
Ir9 0.167 0.228 0.590
Ir10 0.167 0.439 0.577
Ir11 0.228 0.138 0.061
Ir12 0.228 0.590 0.167
Ir13 0.272 0.333 0.910
Ir14 0.272 0.439 0.362
Ir15 0.333 0.910 0.272
Ir16 0.333 0.923 0.061
Ir17 0.362 0.272 0.439
Ir18 0.362 0.590 0.923
Ir19 0.410 0.077 0.638
Ir20 0.410 0.833 0.772
Ir21 0.423 0.090 0.862
Ir22 0.423 0.833 0.561
Ir23 0.439 0.362 0.272
Ir24 0.439 0.577 0.167
Ir25 0.561 0.423 0.833
Ir26 0.561 0.638 0.728
Ir27 0.577 0.167 0.439
Ir28 0.577 0.910 0.138
Ir29 0.590 0.167 0.228
Ir30 0.590 0.923 0.362
Ir31 0.638 0.410 0.077
Ir32 0.638 0.728 0.561
Ir33 0.667 0.077 0.939
Ir34 0.667 0.090 0.728
Ir35 0.728 0.561 0.638
Ir36 0.728 0.667 0.090
Ir37 0.772 0.410 0.833
Ir38 0.772 0.862 0.939
Ir39 0.833 0.561 0.423
Ir40 0.833 0.772 0.410
Ir41 0.862 0.423 0.090
Ir42 0.862 0.939 0.772
Ir43 0.910 0.138 0.577
Ir44 0.910 0.272 0.333
Ir45 0.923 0.061 0.333
Ir46 0.923 0.362 0.590
Ir47 0.939 0.667 0.077
Ir48 0.939 0.772 0.862
Ru1 0.000 0.000 0.000
Ru2 0.000 0.000 0.500
Ru3 0.000 0.500 0.000
Ru4 0.000 0.500 0.500
Ru5 0.125 0.750 0.875
Ru6 0.125 0.875 0.250
Ru7 0.250 0.125 0.875
Ru8 0.250 0.625 0.375
Ru9 0.375 0.250 0.625
Ru10 0.375 0.625 0.750
Ru11 0.500 0.000 0.000
Ru12 0.500 0.000 0.500
Ru13 0.500 0.500 0.000
Ru14 0.500 0.500 0.500
Ru15 0.625 0.375 0.250
Ru16 0.625 0.750 0.375
Ru17 0.750 0.375 0.625
Ru18 0.750 0.875 0.125
Ru19 0.875 0.125 0.750
Ru20 0.875 0.250 0.125
W1 0.125 0.250 0.375
W2 0.125 0.375 0.750
W3 0.250 0.375 0.125
W4 0.250 0.875 0.625
W5 0.375 0.125 0.250
W6 0.375 0.750 0.125
W7 0.625 0.250 0.875
W8 0.625 0.875 0.750
W9 0.750 0.125 0.375
W10 0.750 0.625 0.875
W11 0.875 0.625 0.250
W12 0.875 0.750 0.625

Values from the calculation:
energy of formation from the pure elements	781.2	meV per atom
SG	Ia-3d (230)


No. 12
The following is a GGA-PBE calculation of crystalline LuPuRh at its relaxed geometry, from Alexandria via LeMat-Bulk.

a b c (Å): 4.754 4.754 4.754
angles (deg): 60.00 60.00 60.00
Positions (direct):
Lu1 0.000 0.000 0.000
Pu1 0.500 0.500 0.500
Rh1 0.750 0.750 0.750

Values from the calculation:
energy of formation from the pure elements	-356.6	meV per atom
SG	F-43m (216)
ΔE to the lowest computed polymorph	0.052	eV per atom